Compound: AgGePbSe3
Source: Alexandria via LeMat-Bulk
Functional: PBE-GGA
Structure: relaxed

The space group is P2_1/m (No. 11) and the conventional cell measures 7.846, 4.152 and 9.802 Å, with angles of 90.00, 107.12 and 90.00 degrees. The distinct sites, in fractional coordinates, are Ag at (0.134, 0.250, 0.075), Ge at (0.340, 0.750, 0.361), Pb at (0.287, 0.750, 0.777), Se at (0.010, 0.250, 0.785), Se at (0.296, 0.250, 0.508) and Se at (0.401, 0.750, 0.116).

The total energy comes out at -3.81 eV per atom.

***

Compound: AgGePb2Se4
Source: Alexandria via LeMat-Bulk
Functional: PBE-GGA
Structure: relaxed

The space group is Pmn2_1 (No. 31) and the conventional cell measures 8.524, 9.218 and 6.331 Å, with angles of 90.00, 90.00 and 90.00 degrees. The distinct sites, in fractional coordinates, are Ag at (0.000, 0.160, 0.000), Ge at (0.000, 0.839, 0.501), Pb at (0.241, 0.332, 0.540), Se at (0.000, 0.110, 0.579), Se at (0.000, 0.867, 0.106) and Se at (0.237, 0.684, 0.576).

The total energy comes out at -3.89 eV per atom.

***

Compound: AgSnGe2Pb
Source: Alexandria via LeMat-Bulk
Functional: PBE-GGA
Structure: relaxed

The space group is P4/mmm (No. 123) and the conventional cell measures 5.046, 5.046 and 5.661 Å, with angles of 90.00, 90.00 and 90.00 degrees. The distinct sites, in fractional coordinates, are Ag at (0.000, 0.000, 0.000), Sn at (0.500, 0.500, 0.500), Ge at (0.000, 0.500, 0.000) and Pb at (0.000, 0.000, 0.500).

As for the energy of formation from the pure elements: 0.555 eV per atom.

***

Compound: ZrAgGe2Pb
Source: Alexandria via LeMat-Bulk
Functional: PBE-GGA
Structure: relaxed

The space group is P4/mmm (No. 123) and the conventional cell measures 5.212, 5.212 and 5.666 Å, with angles of 90.00, 90.00 and 90.00 degrees. The distinct sites, in fractional coordinates, are Zr at (0.000, 0.000, 0.000), Ag at (0.500, 0.500, 0.500), Ge at (0.000, 0.500, 0.000) and Pb at (0.000, 0.000, 0.500).

As for the energy of formation from the pure elements: 0.578 eV per atom.

***

Compound: AgGePd2
Source: Alexandria via LeMat-Bulk
Functional: PBE-GGA
Structure: relaxed

The space group is R-3m (No. 166, hexagonal axes) and the conventional cell measures 3.0051, 3.0051 and 25.1449 Å, with angles of 90.00, 90.00 and 120.00 degrees. The distinct sites, in fractional coordinates, are Ag at (0.0000, 0.0000, 0.0000), Ge at (0.0000, 0.0000, 0.5000) and Pd at (0.0000, 0.0000, 0.2418).

As for the energy of formation from the pure elements: -0.217 eV per atom.

***

Compound: Ag2GePd8
Source: Alexandria via LeMat-Bulk
Functional: PBE-GGA
Structure: relaxed

The space group is C2/m (No. 12) and the conventional cell measures 12.559, 4.528 and 7.300 Å, with angles of 90.00, 119.24 and 90.00 degrees. The distinct sites, in fractional coordinates, are Ag at (0.146, 0.000, 0.118), Ge at (0.000, 0.500, 0.500), Pd at (0.046, 0.000, 0.366), Pd at (0.065, 0.500, 0.877), Pd at (0.185, 0.500, 0.454) and Pd at (0.201, 0.000, 0.796).

For the excess energy over the best structure of this formula in the dataset, the calculation gives 60 meV per atom. As for the energy of formation from the pure elements: -0.052 eV per atom.

***

Compound: Ag4GePd2
Source: Alexandria via LeMat-Bulk
Functional: PBE-GGA
Structure: relaxed

The space group is I4/mmm (No. 139) and the conventional cell measures 4.813, 4.813 and 13.262 Å, with angles of 90.00, 90.00 and 90.00 degrees. The distinct sites, in fractional coordinates, are Ag at (0.000, 0.000, 0.191), Ag at (0.000, 0.500, 0.000), Ge at (0.000, 0.000, 0.000) and Pd at (0.000, 0.000, 0.392).

As for the energy of formation from the pure elements: 0.508 eV per atom.

***

Compound: Ag3GePd12
Source: Alexandria via LeMat-Bulk
Functional: PBE-GGA
Structure: relaxed

The space group is P4/mmm (No. 123) and the conventional cell measures 4.005, 4.005 and 15.699 Å, with angles of 90.00, 90.00 and 90.00 degrees. The distinct sites, in fractional coordinates, are Ag at (0.000, 0.000, 0.000), Ag at (0.000, 0.000, 0.254), Ge at (0.000, 0.000, 0.500), Pd at (0.000, 0.500, 0.127), Pd at (0.000, 0.500, 0.382), Pd at (0.500, 0.500, 0.000), Pd at (0.500, 0.500, 0.253) and Pd at (0.500, 0.500, 0.500).

As for the energy of formation from the pure elements: -0.089 eV per atom.